Computed, not measured: crystalline ZnGa2Ag2 at its relaxed geometry at the PBE level of DFT.

Output
E above lowest polymorph   0.089 eV per atom
E_form   0.13 eV per atom
Calculated volume   187.7 Å³ per cell

Structure (CIF):
```
data_ZnGa2Ag2
_cell_length_a 3.691
_cell_length_b 3.691
_cell_length_c 13.775
_cell_angle_alpha 90.00
_cell_angle_beta 90.00
_cell_angle_gamma 90.00
_symmetry_space_group_name_H-M 'I 4/m m m'
_symmetry_Int_Tables_number 139
_symmetry_space_group_name_Hall '-I 4 2'
loop_
_atom_site_label
_atom_site_type_symbol
_atom_site_fract_x
_atom_site_fract_y
_atom_site_fract_z
Zn1 Zn 0.000 0.000 0.000
Ga1 Ga 0.000 0.500 0.250
Ag1 Ag 0.000 0.000 0.402
```


Computed, not measured: crystalline Zn12Ga2Ag5 at its relaxed geometry at the PBE level of DFT.

Output
E above lowest polymorph   0.000 eV per atom
E_form   0.02 eV per atom
Calculated volume   630.8 Å³ per cell

Structure (CIF):
```
data_Zn12Ga2Ag5
_cell_length_a 15.075
_cell_length_b 8.890
_cell_length_c 4.902
_cell_angle_alpha 90.00
_cell_angle_beta 106.21
_cell_angle_gamma 90.00
_symmetry_space_group_name_H-M 'C 1 2/m 1'
_symmetry_Int_Tables_number 12
loop_
_symmetry_equiv_pos_as_xyz
'x,y,z'
'-x,-y,-z'
'-x,y,-z'
'x,-y,z'
'x+1/2,y+1/2,z'
'-x+1/2,-y+1/2,-z'
'-x+1/2,y+1/2,-z'
'x+1/2,-y+1/2,z'
loop_
_atom_site_label
_atom_site_type_symbol
_atom_site_fract_x
_atom_site_fract_y
_atom_site_fract_z
Zn1 Zn 0.096 0.240 0.101
Zn2 Zn 0.101 0.000 0.785
Zn3 Zn 0.101 0.500 0.527
Zn4 Zn 0.202 0.251 0.705
Ga1 Ga 0.000 0.232 0.500
Ag1 Ag 0.000 0.500 0.000
Ag2 Ag 0.193 0.000 0.358
Ag3 Ag 0.198 0.500 0.066
```


Computed, not measured: crystalline Zn3Ga3Ag2 at its relaxed geometry at the PBE level of DFT.

Output
E above lowest polymorph   0.000 eV per atom
E_form   0.02 eV per atom
Calculated volume   276.3 Å³ per cell

Structure (CIF):
```
data_Zn3Ga3Ag2
_cell_length_a 11.891
_cell_length_b 4.738
_cell_length_c 5.436
_cell_angle_alpha 90.00
_cell_angle_beta 115.56
_cell_angle_gamma 90.00
_symmetry_space_group_name_H-M 'C 1 2/m 1'
_symmetry_Int_Tables_number 12
loop_
_symmetry_equiv_pos_as_xyz
'x,y,z'
'-x,-y,-z'
'-x,y,-z'
'x,-y,z'
'x+1/2,y+1/2,z'
'-x+1/2,-y+1/2,-z'
'-x+1/2,y+1/2,-z'
'x+1/2,-y+1/2,z'
loop_
_atom_site_label
_atom_site_type_symbol
_atom_site_fract_x
_atom_site_fract_y
_atom_site_fract_z
Zn1 Zn 0.000 0.000 0.000
Zn2 Zn 0.122 0.000 0.596
Ga1 Ga 0.000 0.500 0.500
Ga2 Ga 0.124 0.500 0.165
Ag1 Ag 0.249 0.000 0.193
```


Computed, not measured: crystalline Zn3Ga5Ag2 at its relaxed geometry at the PBE level of DFT.

Output
E_form   0.10 eV per atom
Calculated volume   741.2 Å³ per cell

Structure (CIF):
```
data_Zn3Ga5Ag2
_cell_length_a 10.285
_cell_length_b 12.323
_cell_length_c 5.848
_cell_angle_alpha 90.00
_cell_angle_beta 90.00
_cell_angle_gamma 90.00
_symmetry_space_group_name_H-M 'I b a m'
_symmetry_Int_Tables_number 72
_symmetry_space_group_name_Hall '-I 2 2c'
loop_
_atom_site_label
_atom_site_type_symbol
_atom_site_fract_x
_atom_site_fract_y
_atom_site_fract_z
Zn1 Zn 0.000 0.000 0.250
Zn2 Zn 0.153 0.347 0.000
Ga1 Ga 0.000 0.500 0.250
Ga2 Ga 0.087 0.156 0.000
Ga3 Ga 0.243 0.000 0.250
Ag1 Ag 0.134 0.313 0.500
```


Computed, not measured: crystalline Zn7Ga4Ag at its relaxed geometry at the PBE level of DFT.

Output
E_form   0.02 eV per atom
Calculated volume   196.9 Å³ per cell

Structure (CIF):
```
data_Zn7Ga4Ag
_cell_length_a 2.9058
_cell_length_b 2.9058
_cell_length_c 26.9232
_cell_angle_alpha 90.00
_cell_angle_beta 90.00
_cell_angle_gamma 120.00
_symmetry_space_group_name_H-M 'P -3 m 1'
_symmetry_Int_Tables_number 164
_symmetry_space_group_name_Hall '-P 3 2"'
loop_
_atom_site_label
_atom_site_type_symbol
_atom_site_fract_x
_atom_site_fract_y
_atom_site_fract_z
Zn1 Zn 0.0000 0.0000 0.0000
Zn2 Zn 0.0000 0.0000 0.2478
Zn3 Zn 0.3333 0.6667 0.1672
Zn4 Zn 0.3333 0.6667 0.4166
Ga1 Ga 0.3333 0.6667 0.6676
Ga2 Ga 0.3333 0.6667 0.9164
Ag1 Ag 0.0000 0.0000 0.5000
```


Computed, not measured: crystalline ZnGa2Ag3 at its relaxed geometry at the PBE level of DFT.

Output
E above lowest polymorph   0.036 eV per atom
E_form   0.01 eV per atom
Calculated volume   206.9 Å³ per cell

Structure (CIF):
```
data_ZnGa2Ag3
_cell_length_a 6.122
_cell_length_b 3.440
_cell_length_c 9.825
_cell_angle_alpha 90.00
_cell_angle_beta 90.66
_cell_angle_gamma 90.00
_symmetry_space_group_name_H-M 'P 1 21/m 1'
_symmetry_Int_Tables_number 11
loop_
_symmetry_equiv_pos_as_xyz
'x,y,z'
'-x,-y,-z'
'-x,y+1/2,-z'
'x,-y+1/2,z'
loop_
_atom_site_label
_atom_site_type_symbol
_atom_site_fract_x
_atom_site_fract_y
_atom_site_fract_z
Zn1 Zn 0.138 0.250 0.242
Ga1 Ga 0.115 0.250 0.598
Ga2 Ga 0.378 0.750 0.081
Ag1 Ag 0.126 0.250 0.911
Ag2 Ag 0.338 0.750 0.430
Ag3 Ag 0.393 0.750 0.739
```


Computed, not measured: crystalline Zn2Ga5Ag2 at its relaxed geometry at the PBE level of DFT.

Output
E above lowest polymorph   0.000 eV per atom
E_form   0.02 eV per atom
Calculated volume   158.7 Å³ per cell

Structure (CIF):
```
data_Zn2Ga5Ag2
_cell_length_a 4.691
_cell_length_b 5.545
_cell_length_c 6.397
_cell_angle_alpha 85.19
_cell_angle_beta 73.30
_cell_angle_gamma 86.62
_symmetry_space_group_name_H-M 'P -1'
_symmetry_Int_Tables_number 2
loop_
_symmetry_equiv_pos_as_xyz
'x,y,z'
'-x,-y,-z'
loop_
_atom_site_label
_atom_site_type_symbol
_atom_site_fract_x
_atom_site_fract_y
_atom_site_fract_z
Zn1 Zn 0.053 0.107 0.275
Ga1 Ga 0.271 0.573 0.393
Ga2 Ga 0.402 0.775 0.933
Ga3 Ga 0.500 0.000 0.500
Ag1 Ag 0.161 0.332 0.838
```


Computed, not measured: crystalline Zn2Ga3Ag3 at its relaxed geometry at the PBE level of DFT.

Output
E above lowest polymorph   0.012 eV per atom
E_form   0.03 eV per atom
Calculated volume   136.3 Å³ per cell

Structure (CIF):
```
data_Zn2Ga3Ag3
_cell_length_a 4.029
_cell_length_b 4.134
_cell_length_c 8.181
_cell_angle_alpha 90.00
_cell_angle_beta 90.00
_cell_angle_gamma 90.00
_symmetry_space_group_name_H-M 'P m m m'
_symmetry_Int_Tables_number 47
loop_
_symmetry_equiv_pos_as_xyz
'x,y,z'
'-x,-y,-z'
'-x,-y,z'
'x,y,-z'
'x,-y,-z'
'-x,y,z'
'-x,y,-z'
'x,-y,z'
loop_
_atom_site_label
_atom_site_type_symbol
_atom_site_fract_x
_atom_site_fract_y
_atom_site_fract_z
Zn1 Zn 0.000 0.000 0.249
Ga1 Ga 0.000 0.500 0.000
Ga2 Ga 0.500 0.500 0.249
Ag1 Ag 0.000 0.500 0.500
Ag2 Ag 0.500 0.000 0.000
Ag3 Ag 0.500 0.000 0.500
```


Computed, not measured: crystalline ZnGa2Ag8 at its relaxed geometry at the PBE level of DFT.

Output
E above lowest polymorph   0.000 eV per atom
E_form   -0.02 eV per atom
Calculated volume   381.1 Å³ per cell

Structure (CIF):
```
data_ZnGa2Ag8
_cell_length_a 14.811
_cell_length_b 4.135
_cell_length_c 6.485
_cell_angle_alpha 90.00
_cell_angle_beta 106.34
_cell_angle_gamma 90.00
_symmetry_space_group_name_H-M 'C 1 2/m 1'
_symmetry_Int_Tables_number 12
loop_
_symmetry_equiv_pos_as_xyz
'x,y,z'
'-x,-y,-z'
'-x,y,-z'
'x,-y,z'
'x+1/2,y+1/2,z'
'-x+1/2,-y+1/2,-z'
'-x+1/2,y+1/2,-z'
'x+1/2,-y+1/2,z'
loop_
_atom_site_label
_atom_site_type_symbol
_atom_site_fract_x
_atom_site_fract_y
_atom_site_fract_z
Zn1 Zn 0.000 0.000 0.000
Ga1 Ga 0.223 0.500 0.643
Ag1 Ag 0.045 0.500 0.735
Ag2 Ag 0.093 0.000 0.454
Ag3 Ag 0.140 0.500 0.195
Ag4 Ag 0.180 0.000 0.919
```


Computed, not measured: crystalline Zn2GaAg2 at its relaxed geometry at the PBE level of DFT.

Output
E above lowest polymorph   0.094 eV per atom
E_form   0.08 eV per atom
Calculated volume   180.1 Å³ per cell

Structure (CIF):
```
data_Zn2GaAg2
_cell_length_a 3.604
_cell_length_b 3.604
_cell_length_c 13.868
_cell_angle_alpha 90.00
_cell_angle_beta 90.00
_cell_angle_gamma 90.00
_symmetry_space_group_name_H-M 'I 4/m m m'
_symmetry_Int_Tables_number 139
_symmetry_space_group_name_Hall '-I 4 2'
loop_
_atom_site_label
_atom_site_type_symbol
_atom_site_fract_x
_atom_site_fract_y
_atom_site_fract_z
Zn1 Zn 0.000 0.500 0.250
Ga1 Ga 0.000 0.000 0.000
Ag1 Ag 0.000 0.000 0.399
```


Computed, not measured: crystalline Zn4Ga3Ag4 at its relaxed geometry at the PBE level of DFT.

Output
E above lowest polymorph   0.072 eV per atom
E_form   0.14 eV per atom
Calculated volume   419.9 Å³ per cell

Structure (CIF):
```
data_Zn4Ga3Ag4
_cell_length_a 4.375
_cell_length_b 8.216
_cell_length_c 11.682
_cell_angle_alpha 90.00
_cell_angle_beta 90.00
_cell_angle_gamma 90.00
_symmetry_space_group_name_H-M 'I m m m'
_symmetry_Int_Tables_number 71
_symmetry_space_group_name_Hall '-I 2 2'
loop_
_atom_site_label
_atom_site_type_symbol
_atom_site_fract_x
_atom_site_fract_y
_atom_site_fract_z
Zn1 Zn 0.000 0.000 0.248
Zn2 Zn 0.000 0.160 0.500
Ga1 Ga 0.000 0.000 0.000
Ga2 Ga 0.000 0.500 0.113
Ag1 Ag 0.000 0.324 0.314
```


Computed, not measured: crystalline Zn3GaAg at its relaxed geometry at the PBE level of DFT.

Output
E above lowest polymorph   0.430 eV per atom
E_form   0.44 eV per atom
Calculated volume   107.8 Å³ per cell

Structure (CIF):
```
data_Zn3GaAg
_cell_length_a 4.759
_cell_length_b 4.759
_cell_length_c 4.759
_cell_angle_alpha 90.00
_cell_angle_beta 90.00
_cell_angle_gamma 90.00
_symmetry_space_group_name_H-M 'P m -3 m'
_symmetry_Int_Tables_number 221
_symmetry_space_group_name_Hall '-P 4 2 3'
loop_
_atom_site_label
_atom_site_type_symbol
_atom_site_fract_x
_atom_site_fract_y
_atom_site_fract_z
Zn1 Zn 0.000 0.000 0.500
Ga1 Ga 0.000 0.000 0.000
Ag1 Ag 0.500 0.500 0.500
```